Compound: SiBiPtAu2
Source: Alexandria
Functional: PBE
Structure: relaxed

## Properties
The density of states at the Fermi level comes out at 3.72 states/eV/f.u. As for the space-group type: P4/mmm. The crystal system is tetragonal. The total magnetization is 0.00 μB per cell. As for the formation energy without anion corrections: 773 meV per atom.

Lattice parameters (Å, degrees): 5.145 5.132 5.145 90.00 90.00 90.00
Element x y z (fractional)
Pt 0.000 0.000 0.000
Au 0.500 0.000 0.000
Bi 0.000 0.500 0.000
Si 0.500 0.500 0.500
Au 0.000 0.000 0.500